CsSrHg17: optimized geometry, PBE.

a b c (Å): 8.469 8.469 8.469
angles (deg): 76.29 76.29 76.29
Fractional positions:
Cs  0.000  0.000  0.000
Sr  0.672  0.672  0.672
Hg  0.053  0.358  0.651
Hg  0.053  0.651  0.358
Hg  0.252  0.700  0.700
Hg  0.290  0.290  0.290
Hg  0.306  0.306  0.915
Hg  0.306  0.915  0.306
Hg  0.358  0.053  0.651
Hg  0.358  0.651  0.053
Hg  0.466  0.466  0.466
Hg  0.568  0.948  0.948
Hg  0.651  0.053  0.358
Hg  0.651  0.358  0.053
Hg  0.700  0.252  0.700
Hg  0.700  0.700  0.252
Hg  0.915  0.306  0.306
Hg  0.948  0.568  0.948
Hg  0.948  0.948  0.568

Summary:
The total energy comes out at -10.31 eV for the cell shown. For the energy relative to the elements, the calculation gives -0.139 eV per atom.



Cs2SrHg10: optimized geometry, PBE.

a b c (Å): 7.209 20.714 7.124
angles (deg): 90.00 90.00 90.00
Fractional positions:
Cs  0.249  0.149  0.000
Cs  0.251  0.649  0.000
Cs  0.749  0.351  0.000
Cs  0.751  0.851  0.000
Sr  0.000  0.500  0.500
Sr  0.500  0.000  0.500
Hg  0.018  0.657  0.500
Hg  0.088  0.797  0.500
Hg  0.092  0.068  0.500
Hg  0.240  0.914  0.207
Hg  0.240  0.914  0.793
Hg  0.260  0.414  0.207
Hg  0.260  0.414  0.793
Hg  0.408  0.568  0.500
Hg  0.412  0.297  0.500
Hg  0.482  0.157  0.500
Hg  0.518  0.843  0.500
Hg  0.588  0.703  0.500
Hg  0.592  0.432  0.500
Hg  0.740  0.586  0.207
Hg  0.740  0.586  0.793
Hg  0.760  0.086  0.207
Hg  0.760  0.086  0.793
Hg  0.908  0.932  0.500
Hg  0.912  0.203  0.500
Hg  0.982  0.343  0.500

Summary:
The total energy comes out at -17.51 eV for the cell shown. For the energy relative to the elements, the calculation gives -0.181 eV per atom.



CsSrHg2: optimized geometry, PBE.

a b c (Å): 10.026 10.026 10.026
angles (deg): 26.53 26.53 26.53
Fractional positions:
Cs  0.000  0.000  0.000
Sr  0.168  0.168  0.168
Hg  0.572  0.572  0.572
Hg  0.762  0.762  0.762

Summary:
The total energy comes out at -4.09 eV for the cell shown. For the energy relative to the elements, the calculation gives -0.238 eV per atom. The energy above the most stable polymorph in this dataset comes out at 0.076 eV/atom.